{
  "formula": "KLa3Zr",
  "functional": "PBE",
  "state": "optimized geometry",
  "cell": [[5.9819, 0.0000, 0.0000], [0.0000, 5.9819, 0.0000], [0.0000, 0.0000, 5.9819]],
  "species": ["K", "La", "La", "La", "Zr"],
  "fractional_positions": [[0.0000, 0.0000, 0.0000], [0.0000, 0.5000, 0.5000], [0.5000, 0.0000, 0.5000], [0.5000, 0.5000, 0.0000], [0.5000, 0.5000, 0.5000]],
  "e_form_ev_per_atom": 0.4544,
  "dft_energy_ev_per_fu": -22.2,
  "dos_ef_per_ev_cell": 6.4
}